No. 1
VASP calculation (SCAN) on a PBEsol-optimized structure of TaCd4Br.

mass density = 9.19 g/cm³
E_form (uncorrected) = 610 meV/atom
total energy = -204.0 eV for the cell shown

a = 5.6623 Å, b = 5.6623 Å, c = 5.6623 Å
α = 60.00°, β = 60.00°, γ = 60.00°
Closest atoms and distances in Å follow each position.
Atoms (fractional coordinates):
Cd  0.3760  0.3760  0.3760  6 Cd 2.81-2.85
Cd  0.3760  0.8721  0.3760  6 Cd 2.81-2.85
Cd  0.3760  0.3760  0.8721  6 Cd 2.81-2.85
Cd  0.8721  0.3760  0.3760  6 Cd 2.81-2.85
Ta  0.7500  0.7500  0.7500  12 Cd 3.32, 4 Br 3.47
Br  0.0000  0.0000  0.0000  12 Cd 3.32, 4 Ta 3.47

=====

No. 2
VASP calculation (SCAN) on a PBEsol-optimized structure of Ta2CdBr.

mass density = 13.02 g/cm³
E above lowest polymorph = 0.000 eV/atom
E_form (uncorrected) = 667 meV/atom
total energy = -180.4 eV for the cell shown

a = 3.0324 Å, b = 3.0324 Å, c = 7.6845 Å
α = 90.00°, β = 90.00°, γ = 90.00°
Closest atoms and distances in Å follow each position.
Atoms (fractional coordinates):
Cd  0.5000  0.5000  0.5000  8 Ta 2.97, 4 Cd 3.03
Ta  0.0000  0.0000  0.2327  4 Br 2.79, 4 Cd 2.97, 4 Ta 3.03
Ta  0.0000  0.0000  0.7673  4 Br 2.79, 4 Cd 2.97, 4 Ta 3.03
Br  0.5000  0.5000  0.0000  8 Ta 2.79, 4 Br 3.03

=====

No. 3
VASP calculation (SCAN) on a PBEsol-optimized structure of TaCdBr2.

mass density = 7.66 g/cm³
E_form (uncorrected) = 114 meV/atom
total energy = -135.5 eV for the cell shown

a = 3.2782 Å, b = 3.2782 Å, c = 10.7290 Å
α = 81.21°, β = 81.21°, γ = 60.00°
Closest atoms and distances in Å follow each position.
Atoms (fractional coordinates):
Ta  0.0000  0.0000  0.0000  2 Br 2.41
Cd  0.5000  0.5000  0.5000  6 Cd 3.28, 6 Br 3.43
Br  0.9238  0.9238  0.2286  1 Ta 2.41
Br  0.0762  0.0762  0.7714  1 Ta 2.41

=====

No. 4
VASP calculation (SCAN) on a PBEsol-optimized structure of Ta2CdBr.

mass density = 11.91 g/cm³
E above lowest polymorph = 0.332 eV/atom
E_form (uncorrected) = 998 meV/atom
total energy = -179.0 eV for the cell shown

a = 4.0333 Å, b = 4.0333 Å, c = 5.5402 Å
α = 111.35°, β = 111.35°, γ = 90.00°
Closest atoms and distances in Å follow each position.
Atoms (fractional coordinates):
Ta  0.2500  0.7500  0.5000  4 Ta 2.85, 4 Cd 3.12, 4 Br 3.12
Ta  0.7500  0.2500  0.5000  4 Ta 2.85, 4 Cd 3.12, 4 Br 3.12
Br  0.5000  0.5000  0.0000  4 Cd 2.85, 8 Ta 3.12
Cd  0.0000  0.0000  0.0000  4 Br 2.85, 8 Ta 3.12

=====

No. 5
VASP calculation (SCAN) on a PBEsol-optimized structure of CdTc2Br.

mass density = 9.55 g/cm³
E above lowest polymorph = 0.000 eV/atom
E_form (uncorrected) = 1293 meV/atom
total energy = -114.8 eV for the cell shown

a = 3.9019 Å, b = 3.9019 Å, c = 4.4341 Å
α = 90.00°, β = 90.00°, γ = 90.00°
Closest atoms and distances in Å follow each position.
Atoms (fractional coordinates):
Tc  0.5000  0.0000  0.0000  4 Tc 2.76, 4 Cd 2.95, 4 Br 2.95
Tc  0.0000  0.5000  0.0000  4 Tc 2.76, 4 Br 2.95, 4 Cd 2.95
Br  0.5000  0.5000  0.5000  4 Cd 2.76, 8 Tc 2.95
Cd  0.0000  0.0000  0.5000  4 Br 2.76, 8 Tc 2.95

=====

No. 6
VASP calculation (SCAN) on a PBEsol-optimized structure of CdTcBr.

mass density = 7.16 g/cm³
E_form (uncorrected) = 1212 meV/atom
total energy = -81.3 eV for the cell shown

a = 4.5654 Å, b = 4.5654 Å, c = 4.5654 Å
α = 60.00°, β = 60.00°, γ = 60.00°
Closest atoms and distances in Å follow each position.
Atoms (fractional coordinates):
Tc  0.5000  0.5000  0.5000  4 Br 2.80
Br  0.2500  0.2500  0.2500  4 Cd 2.80, 4 Tc 2.80
Cd  0.0000  0.0000  0.0000  4 Br 2.80

=====

No. 7
VASP calculation (SCAN) on a PBEsol-optimized structure of CdTc2Br.

mass density = 9.57 g/cm³
E above lowest polymorph = 0.011 eV/atom
E_form (uncorrected) = 1304 meV/atom
total energy = -114.8 eV for the cell shown

a = 3.8871 Å, b = 3.8871 Å, c = 5.2385 Å
α = 111.78°, β = 111.78°, γ = 90.00°
Closest atoms and distances in Å follow each position.
Atoms (fractional coordinates):
Br  0.5000  0.5000  0.0000  4 Cd 2.75, 8 Tc 2.96
Cd  0.0000  0.0000  0.0000  4 Br 2.75, 8 Tc 2.96
Tc  0.7500  0.2500  0.5000  4 Tc 2.75, 4 Cd 2.96, 4 Br 2.96
Tc  0.2500  0.7500  0.5000  4 Tc 2.75, 4 Cd 2.96, 4 Br 2.96

=====

No. 8
VASP calculation (SCAN) on a PBEsol-optimized structure of CdTeBr.

mass density = 6.30 g/cm³
E above lowest polymorph = 0.000 eV/atom
E_form (uncorrected) = -304 meV/atom
total energy = -88.0 eV for the cell shown

a = 3.5415 Å, b = 3.5415 Å, c = 7.4841 Å
α = 98.71°, β = 98.71°, γ = 111.11°
Closest atoms and distances in Å follow each position.
Atoms (fractional coordinates):
Cd  0.3402  0.3402  0.6805  2 Br 2.70, 2 Te 2.91
Te  0.6940  0.6940  0.3881  2 Cd 2.91
Br  0.9657  0.9657  0.9315  2 Cd 2.70

=====

No. 9
VASP calculation (SCAN) on a PBEsol-optimized structure of CdTeBr.

mass density = 6.10 g/cm³
E above lowest polymorph = 0.248 eV/atom
E_form (uncorrected) = -56 meV/atom
total energy = -87.3 eV for the cell shown

a = 4.9742 Å, b = 4.9742 Å, c = 4.9742 Å
α = 60.00°, β = 60.00°, γ = 60.00°
Closest atoms and distances in Å follow each position.
Atoms (fractional coordinates):
Te  0.0000  0.0000  0.0000  4 Cd 3.05
Cd  0.2500  0.2500  0.2500  4 Te 3.05, 4 Br 3.05
Br  0.5000  0.5000  0.5000  4 Cd 3.05

=====

No. 10
VASP calculation (SCAN) on a PBEsol-optimized structure of Cd2TeBr.

mass density = 6.82 g/cm³
E_form (uncorrected) = -251 meV/atom
total energy = -118.5 eV for the cell shown

a = 4.3745 Å, b = 5.4204 Å, c = 5.4204 Å
α = 70.18°, β = 66.20°, γ = 66.20°
Closest atoms and distances in Å follow each position.
Atoms (fractional coordinates):
Cd  0.7536  0.2464  0.2464  2 Br 2.90, 2 Te 2.94
Cd  0.2464  0.7536  0.7536  2 Br 2.90, 2 Te 2.94
Te  0.0000  0.5000  0.5000  4 Cd 2.94
Br  0.5000  0.0000  0.0000  4 Cd 2.90

=====

No. 11
VASP calculation (SCAN) on a PBEsol-optimized structure of CdTeBr.

mass density = 6.63 g/cm³
E above lowest polymorph = 0.095 eV/atom
E_form (uncorrected) = -209 meV/atom
total energy = -87.8 eV for the cell shown

a = 3.4243 Å, b = 3.4243 Å, c = 7.2475 Å
α = 103.66°, β = 103.66°, γ = 90.00°
Closest atoms and distances in Å follow each position.
Atoms (fractional coordinates):
Te  0.3079  0.3079  0.6158  4 Cd 3.18, 4 Te 3.42
Br  0.0356  0.0356  0.0713  4 Cd 2.93
Cd  0.6565  0.6565  0.3129  4 Br 2.93, 4 Te 3.18

=====

No. 12
VASP calculation (SCAN) on a PBEsol-optimized structure of CdTeBr2.

mass density = 6.60 g/cm³
E above lowest polymorph = 0.084 eV/atom
E_form (uncorrected) = 216 meV/atom
total energy = -105.7 eV for the cell shown

a = 5.2198 Å, b = 5.2198 Å, c = 5.2198 Å
α = 60.00°, β = 60.00°, γ = 60.00°
Closest atoms and distances in Å follow each position.
Atoms (fractional coordinates):
Te  0.5000  0.5000  0.5000  8 Br 3.20
Br  0.7500  0.7500  0.7500  4 Te 3.20, 4 Cd 3.20
Br  0.2500  0.2500  0.2500  4 Cd 3.20, 4 Te 3.20
Cd  0.0000  0.0000  0.0000  8 Br 3.20

=====

> Number 5 is which compound?

CdTc2Br

=====

> Which of these has the highest mass density?

number 2

=====

> E_form (uncorrected) of number 1 (TaCd4Br)?

610 meV/atom

=====

Please write out number 1 again, unchanged.
VASP calculation (SCAN) on a PBEsol-optimized structure of TaCd4Br.

mass density = 9.19 g/cm³
E_form (uncorrected) = 610 meV/atom
total energy = -204.0 eV for the cell shown

a = 5.6623 Å, b = 5.6623 Å, c = 5.6623 Å
α = 60.00°, β = 60.00°, γ = 60.00°
Closest atoms and distances in Å follow each position.
Atoms (fractional coordinates):
Cd  0.3760  0.3760  0.3760  6 Cd 2.81-2.85
Cd  0.3760  0.8721  0.3760  6 Cd 2.81-2.85
Cd  0.3760  0.3760  0.8721  6 Cd 2.81-2.85
Cd  0.8721  0.3760  0.3760  6 Cd 2.81-2.85
Ta  0.7500  0.7500  0.7500  12 Cd 3.32, 4 Br 3.47
Br  0.0000  0.0000  0.0000  12 Cd 3.32, 4 Ta 3.47